[1]
First-principles (PBE) data for LiTb4Pt3 after structural relaxation, as listed in Alexandria.

Computed properties:
**Magnetic moment**: 0.000 μB per atom
**N(E_F)**: 3.605 states/eV per cell
**Calculated total energy**: -5.785 eV/atom
**Space group**: C2/m (12)
**ΔE_f**: -965 meV per atom

a b c (Å): 5.014 5.014 7.857
angles (deg): 108.58 108.57 89.92
Sites, in units of the cell vectors:
Tb (0.873, 0.873, 0.746)
Tb (0.373, 0.373, 0.746)
Tb (0.627, 0.627, 0.254)
Tb (0.127, 0.127, 0.254)
Pt (0.728, 0.228, 0.457)
Pt (0.000, 0.500, 0.000)
Pt (0.272, 0.772, 0.543)
Li (0.500, 0.000, 0.000)

***

[2]
First-principles (PBE) data for NdAl2SiRh after structural relaxation, as listed in Alexandria.

Computed properties:
**Magnetic moment**: 0.000 μB per atom
**N(E_F)**: 1.901 states/eV per cell
**Calculated total energy**: -5.768 eV/atom
**Space group**: Imm2 (44)
**Raw formation energy**: -0.763 eV/atom

a b c (Å): 4.132 3.971 6.263
angles (deg): 108.48 109.26 90.00
Sites, in units of the cell vectors:
Rh (0.199, 0.699, 0.398)
Al (0.055, 0.055, 0.111)
Al (0.693, 0.193, 0.386)
Si (0.830, 0.830, 0.660)
Nd (0.435, 0.435, 0.871)

***

[3]
First-principles (PBE) data for Pm4Y9Tl11 after structural relaxation, as listed in Alexandria.

Computed properties:
**Magnetic moment**: 0.001 μB per atom
**N(E_F)**: 23.479 states/eV per cell
**Calculated total energy**: -4.599 eV/atom
**Space group**: Cmmm (65)
**ΔE_f**: -299 meV per atom

a b c (Å): 3.594 14.162 14.162
angles (deg): 109.46 90.00 90.00
Sites, in units of the cell vectors:
Tl (0.000, 0.376, 0.624)
Tl (0.000, 0.000, 0.000)
Tl (0.000, 0.792, 0.792)
Tl (0.000, 0.048, 0.410)
Tl (0.000, 0.410, 0.048)
Tl (0.000, 0.208, 0.208)
Tl (0.000, 0.813, 0.187)
Tl (0.000, 0.187, 0.813)
Tl (0.000, 0.624, 0.376)
Tl (0.000, 0.952, 0.590)
Tl (0.000, 0.590, 0.952)
Y (0.500, 0.797, 0.986)
Y (0.500, 0.203, 0.014)
Y (0.500, 0.500, 0.500)
Y (0.500, 0.386, 0.841)
Y (0.500, 0.159, 0.614)
Y (0.500, 0.841, 0.386)
Y (0.500, 0.014, 0.203)
Y (0.500, 0.614, 0.159)
Y (0.500, 0.986, 0.797)
Pm (0.500, 0.414, 0.251)
Pm (0.500, 0.749, 0.586)
Pm (0.500, 0.586, 0.749)
Pm (0.500, 0.251, 0.414)

***

[4]
First-principles (PBE) data for K2HgC2O6 after structural relaxation, as listed in Alexandria.

Computed properties:
**Magnetic moment**: 0.000 μB per atom
**Calculated total energy**: -5.996 eV/atom
**Space group**: C2/m (12)
**Raw formation energy**: -1.388 eV/atom

a b c (Å): 5.255 6.036 6.688
angles (deg): 112.90 90.00 115.81
Sites, in units of the cell vectors:
O (0.848, 0.123, 0.787)
O (0.274, 0.123, 0.787)
O (0.726, 0.877, 0.213)
O (0.141, 0.281, 0.362)
O (0.152, 0.877, 0.213)
O (0.859, 0.719, 0.638)
C (0.988, 0.977, 0.732)
C (0.012, 0.023, 0.268)
K (0.691, 0.383, 0.185)
K (0.309, 0.617, 0.815)
Hg (0.500, 0.000, 0.500)

***

[5]
First-principles (PBE) data for BaCrSe after structural relaxation, as listed in Alexandria.

Computed properties:
**Magnetic moment**: 1.364 μB per atom
**N(E_F)**: 0.766 states/eV per cell
**Calculated total energy**: -5.554 eV/atom
**Space group**: P-6m2 (187)
**Raw formation energy**: -0.544 eV/atom

a b c (Å): 4.546 4.546 4.750
angles (deg): 90.00 90.00 120.00
Sites, in units of the cell vectors:
Cr (0.667, 0.333, 0.500)
Ba (0.000, 0.000, 0.000)
Se (0.333, 0.667, 0.500)

***

[6]
First-principles (PBE) data for Ti12Si5Ru3 after structural relaxation, as listed in Alexandria.

Computed properties:
**Magnetic moment**: 0.000 μB per atom
**N(E_F)**: 93.419 states/eV per cell
**Calculated total energy**: -7.248 eV/atom
**Space group**: Ia-3d (230)
**Raw formation energy**: 0.237 eV/atom

a b c (Å): 12.711 12.711 12.711
angles (deg): 109.47 109.47 109.47
Sites, in units of the cell vectors:
Si (0.500, 0.000, 0.500)
Si (0.750, 0.125, 0.875)
Si (0.250, 0.875, 0.125)
Si (0.250, 0.375, 0.625)
Si (0.125, 0.375, 0.250)
Si (0.000, 0.500, 0.000)
Si (0.750, 0.625, 0.375)
Si (0.000, 0.000, 0.500)
Si (0.875, 0.250, 0.625)
Si (0.000, 0.000, 0.000)
Si (0.500, 0.500, 0.500)
Si (0.500, 0.000, 0.000)
Si (0.375, 0.250, 0.125)
Si (0.375, 0.125, 0.750)
Si (0.500, 0.500, 0.000)
Si (0.125, 0.750, 0.375)
Si (0.625, 0.875, 0.250)
Si (0.875, 0.625, 0.750)
Si (0.000, 0.500, 0.500)
Si (0.625, 0.750, 0.875)
Ti (0.665, 0.228, 0.592)
Ti (0.772, 0.335, 0.908)
Ti (0.438, 0.772, 0.865)
Ti (0.335, 0.772, 0.408)
Ti (0.165, 0.073, 0.938)
Ti (0.562, 0.228, 0.135)
Ti (0.865, 0.272, 0.438)
Ti (0.938, 0.573, 0.165)
Ti (0.092, 0.927, 0.365)
Ti (0.938, 0.365, 0.272)
Ti (0.728, 0.592, 0.165)
Ti (0.573, 0.635, 0.408)
Ti (0.665, 0.438, 0.573)
Ti (0.365, 0.427, 0.092)
Ti (0.592, 0.728, 0.665)
Ti (0.728, 0.135, 0.062)
Ti (0.635, 0.062, 0.228)
Ti (0.573, 0.938, 0.665)
Ti (0.427, 0.062, 0.335)
Ti (0.165, 0.092, 0.728)
Ti (0.228, 0.562, 0.635)
Ti (0.062, 0.635, 0.728)
Ti (0.635, 0.573, 0.908)
Ti (0.062, 0.427, 0.835)
Ti (0.427, 0.365, 0.592)
Ti (0.073, 0.908, 0.135)
Ti (0.438, 0.665, 0.073)
Ti (0.408, 0.272, 0.335)
Ti (0.228, 0.665, 0.092)
Ti (0.835, 0.927, 0.062)
Ti (0.772, 0.438, 0.365)
Ti (0.365, 0.938, 0.772)
Ti (0.092, 0.165, 0.228)
Ti (0.927, 0.092, 0.865)
Ti (0.927, 0.835, 0.562)
Ti (0.272, 0.408, 0.835)
Ti (0.908, 0.073, 0.635)
Ti (0.335, 0.562, 0.427)
Ti (0.135, 0.408, 0.073)
Ti (0.908, 0.835, 0.772)
Ti (0.562, 0.335, 0.927)
Ti (0.272, 0.865, 0.938)
Ti (0.835, 0.908, 0.272)
Ti (0.592, 0.865, 0.427)
Ti (0.865, 0.592, 0.927)
Ti (0.408, 0.135, 0.573)
Ti (0.073, 0.165, 0.438)
Ti (0.135, 0.728, 0.562)
Ru (0.375, 0.625, 0.250)
Ru (0.125, 0.875, 0.750)
Ru (0.125, 0.250, 0.875)
Ru (0.625, 0.375, 0.750)
Ru (0.250, 0.625, 0.875)
Ru (0.250, 0.125, 0.375)
Ru (0.750, 0.875, 0.625)
Ru (0.875, 0.125, 0.250)
Ru (0.375, 0.750, 0.625)
Ru (0.625, 0.250, 0.375)
Ru (0.875, 0.750, 0.125)
Ru (0.750, 0.375, 0.125)

***

[7]
First-principles (PBE) data for NaMg3Pt after structural relaxation, as listed in Alexandria.

Computed properties:
**Magnetic moment**: 0.000 μB per atom
**N(E_F)**: 2.284 states/eV per cell
**Calculated total energy**: -1.548 eV/atom
**Space group**: Pm-3m (221)
**ΔE_f**: 881 meV per atom

a b c (Å): 4.900 4.900 4.900
angles (deg): 90.00 90.00 90.00
Sites, in units of the cell vectors:
Mg (0.500, 0.000, 0.000)
Mg (0.000, 0.500, 0.000)
Mg (0.000, 0.000, 0.500)
Pt (0.500, 0.500, 0.500)
Na (0.000, 0.000, 0.000)

***

[8]
First-principles (PBE) data for ReTe2Pt2 after structural relaxation, as listed in Alexandria.

Computed properties:
**Magnetic moment**: 0.000 μB per atom
**N(E_F)**: 2.730 states/eV per cell
**Calculated total energy**: -5.524 eV/atom
**Space group**: I4/mmm (139)
**Raw formation energy**: 0.638 eV/atom

a b c (Å): 3.580 3.580 8.399
angles (deg): 77.70 77.70 90.00
Sites, in units of the cell vectors:
Te (0.601, 0.601, 0.798)
Te (0.399, 0.399, 0.202)
Pt (0.750, 0.250, 0.500)
Pt (0.250, 0.750, 0.500)
Re (0.000, 0.000, 0.000)

***

> What is the magnetic moment in the seventh record?

0.000 μB per atom

***

> Which of these has the highest calculated total energy?

NaMg3Pt